The following is a PBE calculation of a geometry-optimized CrCd2Br structure, from the Alexandria database.

It has space group Pm (No. 6), with a = 3.5356 Å, b = 3.3482 Å, c = 8.5643 Å, α = 90.00°, β = 101.41° and γ = 90.00°. The inequivalent atoms are Cr at (0.0000, 0.0000, 0.0000), Cd at (0.2052, 0.0000, 0.4242), Cd at (0.5970, 0.5000, 0.2010) and Br at (0.8925, 0.5000, 0.7788).

The density of states at the Fermi level comes out at 2.3 states/eV/f.u. The calculation puts the formation energy from raw total energies at 0.109 eV/atom. Its total energy is -3.1731 eV per atom.